{
  "formula": "La2YSe",
  "functional": "PBE",
  "state": "optimized geometry",
  "cell": [[2.834, -5.978, 0.000], [2.834, 5.978, 0.000], [0.000, 0.000, 3.899]],
  "species": ["La", "La", "Y", "Se"],
  "frac_coords": [[0.186, 0.814, 0.000], [0.814, 0.186, 0.000], [0.500, 0.500, 0.500], [0.000, 0.000, 0.500]],
  "formation_energy_uncorrected_mev_per_atom": -761
}